Record 1
The following is a meta-GGA SCAN calculation of a PBEsol-optimized structure of LaTa3Hg, from the Alexandria database.

POSCAR file:
```
LaTa3Hg
1.0
5.079 0.000 0.000
0.000 5.079 0.000
0.000 0.000 5.079
Hg Ta La
1 3 1
direct
0.000 0.000 0.000
0.500 0.000 0.000
0.000 0.500 0.000
0.000 0.000 0.500
0.500 0.500 0.500
```

Values from the calculation:
As for the formation energy from the elements: 1.733 eV per atom. The space-group type is No. 221.

***

Record 2
The following is a meta-GGA SCAN calculation of a PBEsol-optimized structure of LaTaHg2, from the Alexandria database.

POSCAR file:
```
LaTaHg2
1.0
3.109 0.000 0.000
-1.554 5.256 -0.001
0.000 -1.064 5.547
Ta Hg La
1 2 1
direct
0.500 0.000 0.000
0.763 0.527 0.780
0.237 0.473 0.220
0.000 0.000 0.500
```

Values from the calculation:
As for the formation energy from the elements: 0.199 eV per atom. The space-group type is No. 12.

***

Record 3
The following is a meta-GGA SCAN calculation of a PBEsol-optimized structure of LaTaHg2, from the Alexandria database.

POSCAR file:
```
LaTaHg2
1.0
5.084 0.000 0.000
2.542 4.403 0.000
2.542 1.468 4.151
Hg Ta La
2 1 1
direct
0.250 0.250 0.250
0.750 0.750 0.750
0.500 0.500 0.500
0.000 0.000 0.000
```

Values from the calculation:
As for the formation energy from the elements: 0.226 eV per atom. The space-group type is No. 225.

***

Record 4
The following is a meta-GGA SCAN calculation of a PBEsol-optimized structure of LaTaHg2, from the Alexandria database.

POSCAR file:
```
LaTaHg2
1.0
-2.246 1.997 0.908
-1.635 0.497 -5.137
-1.562 -5.239 2.230
Ta Hg La
1 2 1
direct
0.267 0.706 0.533
0.981 0.038 0.962
0.737 0.198 0.474
0.515 0.559 0.031
```

Values from the calculation:
As for the formation energy from the elements: 0.197 eV per atom. The space-group type is No. 8.

***

Record 5
The following is a meta-GGA SCAN calculation of a PBEsol-optimized structure of LaTaHg2, from the Alexandria database.

POSCAR file:
```
LaTaHg2
1.0
-0.363 -2.083 2.258
1.168 -2.196 -1.839
8.268 1.853 3.038
Hg Ta La
2 1 1
direct
0.000 0.000 0.722
0.000 0.000 0.278
0.500 0.500 0.500
0.500 0.500 0.000
```

Values from the calculation:
As for the formation energy from the elements: 0.000 eV per atom. The space-group type is No. 123.

***

Record 6
The following is a meta-GGA SCAN calculation of a PBEsol-optimized structure of LaTa2Hg, from the Alexandria database.

POSCAR file:
```
LaTa2Hg
1.0
-0.056 -0.539 -3.018
-1.217 -3.415 0.633
-7.397 2.575 -0.330
La Hg Ta
1 1 2
direct
0.499 0.500 0.757
0.000 0.000 0.459
0.001 0.000 0.048
0.500 0.500 0.235
```

Values from the calculation:
As for the formation energy from the elements: 0.179 eV per atom. The space-group type is No. 25.

***

Record 7
The following is a meta-GGA SCAN calculation of a PBEsol-optimized structure of LaTa2Hg, from the Alexandria database.

POSCAR file:
```
LaTa2Hg
1.0
-0.782 -2.145 -2.774
1.347 -2.808 1.791
-6.189 -1.242 2.705
Hg Ta La
1 2 1
direct
0.500 0.500 0.000
0.000 0.000 0.187
0.000 0.000 0.813
0.500 0.500 0.500
```

Values from the calculation:
As for the formation energy from the elements: 0.526 eV per atom. The space-group type is No. 123.

***

Record 8
The following is a meta-GGA SCAN calculation of a PBEsol-optimized structure of LaTaHg2, from the Alexandria database.

POSCAR file:
```
LaTaHg2
1.0
-0.531 -0.476 3.054
3.025 -0.718 0.414
1.847 8.749 1.684
Hg Ta La
2 1 1
direct
0.500 0.500 0.229
0.000 0.000 0.988
0.500 0.500 0.775
0.000 0.000 0.507
```

Values from the calculation:
As for the formation energy from the elements: 0.166 eV per atom. The space-group type is No. 99.

***

Record 9
The following is a meta-GGA SCAN calculation of a PBEsol-optimized structure of LaTaHg2, from the Alexandria database.

POSCAR file:
```
LaTaHg2
1.0
-2.867 1.026 0.393
0.131 -1.155 3.964
2.517 6.360 1.770
Hg La Ta
2 1 1
direct
0.000 0.000 0.708
0.000 0.000 0.292
0.500 0.500 0.000
0.500 0.500 0.500
```

Values from the calculation:
As for the formation energy from the elements: 0.000 eV per atom. The space-group type is No. 47.

***

Record 10
The following is a meta-GGA SCAN calculation of a PBEsol-optimized structure of LaTc2Hg, from the Alexandria database.

POSCAR file:
```
LaTc2Hg
1.0
2.956 0.010 0.000
-0.258 5.396 0.000
-1.349 -2.703 4.656
Tc Hg La
2 1 1
direct
0.000 0.000 0.500
0.500 0.500 0.500
0.500 0.000 0.000
0.000 0.500 0.000
```

Values from the calculation:
As for the formation energy from the elements: 0.583 eV per atom. The space-group type is No. 12.

***

Record 11
The following is a meta-GGA SCAN calculation of a PBEsol-optimized structure of LaTcHg3, from the Alexandria database.

POSCAR file:
```
LaTcHg3
1.0
-5.715 -0.275 0.208
0.207 -5.501 -1.575
0.276 -1.564 5.501
Tc Hg La
1 3 1
direct
0.500 0.500 0.500
0.000 0.500 0.000
0.000 0.000 0.500
0.500 0.000 0.000
0.000 0.000 0.000
```

Values from the calculation:
As for the formation energy from the elements: 1.258 eV per atom. The space-group type is No. 221.

***

Record 12
The following is a meta-GGA SCAN calculation of a PBEsol-optimized structure of LaTc2Hg, from the Alexandria database.

POSCAR file:
```
LaTc2Hg
1.0
2.895 0.000 0.000
1.448 2.507 0.000
1.448 0.836 10.184
Tc Hg La
2 1 1
direct
0.757 0.757 0.730
0.243 0.243 0.270
0.500 0.500 0.500
0.000 0.000 0.000
```

Values from the calculation:
As for the formation energy from the elements: 0.887 eV per atom. The space-group type is No. 166.